Entry 1:
# ScTe4Au | the Alexandria database | PBE | optimized geometry
# - Formation energy (no corrections): 0.324 eV per atom
# - Magnetization: 0.00 Bohr magnetons per cell
# - V: 28.553 Å³/atom
# - Electronic total energy: -80.93 eV for the cell shown
data_ScTe4Au
_cell_length_a 8.816
_cell_length_b 8.816
_cell_length_c 8.816
_cell_angle_alpha 90.00
_cell_angle_beta 90.00
_cell_angle_gamma 90.00
_space_group_name_H-M_alt 'F -4 3 m'
_space_group_IT_number 216
_space_group_name_Hall 'F -4 2 3'
loop_
_atom_site_label
_atom_site_type_symbol
_atom_site_fract_x
_atom_site_fract_y
_atom_site_fract_z
Sc1 Sc 0.000 0.000 0.000
Te1 Te 0.125 0.125 0.625
Au1 Au 0.250 0.250 0.250

Entry 2:
# Pm3SmTh2 | the Alexandria database | PBE | optimized geometry
# - E_form: 0.455 eV per atom
# - Magnetization: 0.00 Bohr magnetons per cell
# - V: 34.347 Å³/atom
# - Electronic total energy: -186.50 eV for the cell shown
data_Pm3SmTh2
_cell_length_a 11.8678
_cell_length_b 11.8678
_cell_length_c 10.1372
_cell_angle_alpha 90.00
_cell_angle_beta 90.00
_cell_angle_gamma 120.00
_space_group_name_H-M_alt 'R -3 m'
_space_group_IT_number 166
_space_group_name_Hall '-R 3 2"'
loop_
_atom_site_label
_atom_site_type_symbol
_atom_site_fract_x
_atom_site_fract_y
_atom_site_fract_z
Pm1 Pm 0.9998 0.4999 0.1647
Sm1 Sm 0.0000 0.0000 0.1644
Th1 Th 0.0000 0.0000 0.5000
Th2 Th 0.0000 0.5000 0.5000

Entry 3:
# Pm4ScTl2 | the Alexandria database | PBE | optimized geometry
# - E_form: 0.003 eV per atom
# - Magnetization: 0.02 Bohr magnetons per cell
# - V: 33.323 Å³/atom
# - Electronic total energy: -90.13 eV for the cell shown
data_Pm4ScTl2
_cell_length_a 5.5293
_cell_length_b 5.5293
_cell_length_c 26.4297
_cell_angle_alpha 90.00
_cell_angle_beta 90.00
_cell_angle_gamma 120.00
_space_group_name_H-M_alt 'R -3 m'
_space_group_IT_number 166
_space_group_name_Hall '-R 3 2"'
loop_
_atom_site_label
_atom_site_type_symbol
_atom_site_fract_x
_atom_site_fract_y
_atom_site_fract_z
Pm1 Pm 0.0000 0.0000 0.1307
Pm2 Pm 0.0000 0.0000 0.2696
Sc1 Sc 0.0000 0.0000 0.5000
Tl1 Tl 0.0000 0.0000 0.3900

Entry 4:
# RbGa2Ge2 | the Alexandria database | PBE | optimized geometry
# - E_form: -0.081 eV per atom
# - Magnetization: 0.00 Bohr magnetons per cell
# - V: 23.738 Å³/atom
# - Electronic total energy: -33.32 eV for the cell shown
data_RbGa2Ge2
_cell_length_a 4.667
_cell_length_b 4.667
_cell_length_c 10.897
_cell_angle_alpha 90.00
_cell_angle_beta 90.00
_cell_angle_gamma 90.00
_space_group_name_H-M_alt 'I 4/m m m'
_space_group_IT_number 139
_space_group_name_Hall '-I 4 2'
loop_
_atom_site_label
_atom_site_type_symbol
_atom_site_fract_x
_atom_site_fract_y
_atom_site_fract_z
Rb1 Rb 0.000 0.000 0.000
Ga1 Ga 0.000 0.000 0.377
Ge1 Ge 0.000 0.500 0.250

Entry 5:
# SmTmLu2 | the Alexandria database | PBE | optimized geometry
# - E_form: 0.112 eV per atom
# - Magnetization: 0.01 Bohr magnetons per cell
# - V: 30.923 Å³/atom
# - Electronic total energy: -71.14 eV for the cell shown
data_SmTmLu2
_cell_length_a 7.909
_cell_length_b 7.909
_cell_length_c 7.909
_cell_angle_alpha 90.00
_cell_angle_beta 90.00
_cell_angle_gamma 90.00
_space_group_name_H-M_alt 'F m -3 m'
_space_group_IT_number 225
_space_group_name_Hall '-F 4 2 3'
loop_
_atom_site_label
_atom_site_type_symbol
_atom_site_fract_x
_atom_site_fract_y
_atom_site_fract_z
Sm1 Sm 0.000 0.000 0.000
Tm1 Tm 0.000 0.000 0.500
Lu1 Lu 0.250 0.250 0.250

Entry 6:
# Mn2SbPt2 | the Alexandria database | PBE | optimized geometry
# - Formation energy (no corrections): 0.204 eV per atom
# - Magnetization: 0.00 Bohr magnetons per cell
# - V: 16.151 Å³/atom
# - Electronic total energy: -67.05 eV for the cell shown
data_Mn2SbPt2
_cell_length_a 7.664
_cell_length_b 7.664
_cell_length_c 2.750
_cell_angle_alpha 90.00
_cell_angle_beta 90.00
_cell_angle_gamma 90.00
_space_group_name_H-M_alt 'P 4/m b m'
_space_group_IT_number 127
_space_group_name_Hall '-P 4 2ab'
loop_
_atom_site_label
_atom_site_type_symbol
_atom_site_fract_x
_atom_site_fract_y
_atom_site_fract_z
Mn1 Mn 0.094 0.406 0.000
Sb1 Sb 0.000 0.000 0.500
Pt1 Pt 0.190 0.690 0.500

Entry 7:
# Tb2BeRu | the Alexandria database | PBE | optimized geometry
# - E_form: -0.128 eV per atom
# - Magnetization: 0.00 Bohr magnetons per cell
# - V: 20.067 Å³/atom
# - Electronic total energy: -22.78 eV for the cell shown
data_Tb2BeRu
_cell_length_a 3.451
_cell_length_b 3.451
_cell_length_c 6.741
_cell_angle_alpha 90.00
_cell_angle_beta 90.00
_cell_angle_gamma 90.00
_space_group_name_H-M_alt 'P 4/m m m'
_space_group_IT_number 123
_space_group_name_Hall '-P 4 2'
loop_
_atom_site_label
_atom_site_type_symbol
_atom_site_fract_x
_atom_site_fract_y
_atom_site_fract_z
Tb1 Tb 0.000 0.000 0.248
Be1 Be 0.500 0.500 0.500
Ru1 Ru 0.500 0.500 0.000

Entry 8:
# KYSnO3 | the Alexandria database | PBE | optimized geometry
# - Formation energy (no corrections): -2.252 eV per atom
# - Magnetization: 0.00 Bohr magnetons per cell
# - V: 20.588 Å³/atom
# - Electronic total energy: -79.90 eV for the cell shown
data_KYSnO3
_cell_length_a 7.084
_cell_length_b 3.453
_cell_length_c 10.104
_cell_angle_alpha 90.00
_cell_angle_beta 91.41
_cell_angle_gamma 90.00
_space_group_name_H-M_alt 'P 1 21/m 1'
_space_group_IT_number 11
loop_
_space_group_symop_operation_xyz
'x,y,z'
'-x,-y,-z'
'-x,y+1/2,-z'
'x,-y+1/2,z'
loop_
_atom_site_label
_atom_site_type_symbol
_atom_site_fract_x
_atom_site_fract_y
_atom_site_fract_z
K1 K 0.161 0.250 0.208
Y1 Y 0.386 0.250 0.877
Sn1 Sn 0.253 0.750 0.600
O1 O 0.139 0.250 0.712
O2 O 0.325 0.750 0.017
O3 O 0.470 0.750 0.740